[1]
Density functional theory data (PBE) for BaSmTiO4 after structural relaxation.

```
BaSmTiO4
1.0
3.9598 0.0000 0.0000
0.0000 3.9598 0.0000
-1.9799 -1.9799 6.5390
Ba Sm Ti O
1 1 1 4
Direct
0.6475 0.6475 0.2950
0.3610 0.3610 0.7219
0.9912 0.9912 0.9823
0.9870 0.4870 0.9739
0.4870 0.9870 0.9739
0.8394 0.8394 0.6789
0.1870 0.1870 0.3740
```

***

[2]
Density functional theory data (PBE) for Ba3SmTi2O9 after structural relaxation.

```
Ba3SmTi2O9
1.0
-4.2687 -4.0953 -0.4161
2.3230 1.3346 5.2905
-5.1158 5.2384 0.9248
Ba Sm Ti O
3 1 2 9
Direct
0.3333 0.6667 0.6906
0.0000 0.0000 0.0000
0.6667 0.3333 0.3094
0.0000 0.0000 0.5000
0.3333 0.6667 0.1715
0.6667 0.3333 0.8285
0.8223 0.1777 0.6890
0.8223 0.6447 0.6890
0.3553 0.1777 0.6890
0.6447 0.8223 0.3110
0.1777 0.3553 0.3110
0.1777 0.8223 0.3110
0.5000 0.0000 0.0000
0.0000 0.5000 0.0000
0.5000 0.5000 0.0000
```

***

[3]
Density functional theory data (PBE) for BaSm2TmO5 after structural relaxation.

```
BaSm2TmO5
1.0
4.1793 0.0000 0.0000
0.0000 6.0406 0.0000
-2.0897 -3.0203 5.9132
Ba Sm Tm O
1 2 1 5
Direct
0.0000 0.5000 0.0000
0.2175 0.2175 0.4350
0.7825 0.7825 0.5650
0.5000 0.0000 0.0000
0.6459 0.9089 0.2918
0.3541 0.0911 0.7082
0.3541 0.6171 0.7082
0.6459 0.3829 0.2918
0.0000 0.0000 0.0000
```

***

[4]
Density functional theory data (PBE) for Ba2SmTmO5 after structural relaxation.

```
Ba2SmTmO5
1.0
3.7322 0.0000 0.0000
-1.8661 7.2376 0.0000
0.0000 0.0000 12.3374
Ba Sm Tm O
4 2 2 10
Direct
0.8488 0.6977 0.7987
0.0888 0.1775 0.6737
0.1512 0.3023 0.2987
0.9112 0.8225 0.1737
0.7781 0.5563 0.5247
0.2219 0.4437 0.0247
0.5302 0.0604 0.9497
0.4698 0.9396 0.4497
0.3795 0.7589 0.9972
0.6872 0.3744 0.9123
0.4913 0.9826 0.7842
0.2704 0.5409 0.6528
0.9442 0.8883 0.5306
0.6205 0.2411 0.4972
0.3128 0.6256 0.4123
0.5087 0.0174 0.2842
0.7296 0.4591 0.1528
0.0558 0.1117 0.0306
```

***

Number 1: calculated density 6.47 g/cm3, formation energy (no corrections) -2.94 eV per atom. Number 2: calculated density 5.93 g/cm3, formation energy (no corrections) -2.94 eV per atom. Number 3: calculated density 7.64 g/cm3, formation energy (no corrections) -3.07 eV per atom. Number 4: calculated density 6.72 g/cm3, formation energy (no corrections) -3.04 eV per atom.